1.
This record from Alexandria describes crystalline SiPbCl2 at its relaxed geometry. The functional is PBE.

Cell lengths 6.524, 8.808, 4.855 Å; angles 90.00, 130.76, 90.00 degrees
Space group C2/m (No. 12)
One atom of each set of equivalent atoms:
Si1 0.000 0.000 0.000 [2 per cell]
Pb1 0.000 0.500 0.000 [2 per cell]
Cl1 0.250 0.250 0.500 [4 per cell]

## Properties
The calculation puts the uncorrected formation energy at -0.159 eV/atom. The value obtained for the polymorph energy (0 for the lowest one) is 0.89 eV/f.u.


2.
This record from Alexandria describes crystalline La3TbDyHo at its relaxed geometry. The functional is PBE.

Cell lengths 10.923, 3.649, 10.947 Å; angles 90.00, 109.58, 90.00 degrees
Space group P2_1/m (No. 11)
One atom of each set of equivalent atoms:
La1 0.042 0.250 0.371 [2 per cell]
La2 0.294 0.750 0.623 [2 per cell]
La3 0.454 0.750 0.125 [2 per cell]
Tb1 0.205 0.250 0.879 [2 per cell]
Dy1 0.374 0.250 0.373 [2 per cell]
Ho1 0.123 0.750 0.121 [2 per cell]

## Properties
The energy of formation is 0.025 eV per atom.


3.
This record from Alexandria describes crystalline HoMn5B3 at its relaxed geometry. The functional is PBE.

Cell lengths 3.313, 11.456, 10.531 Å; angles 90.00, 90.00, 90.00 degrees
Space group Cmcm (No. 63)
One atom of each set of equivalent atoms:
Ho1 0.000 0.169 0.250 [4 per cell]
Mn1 0.000 0.000 0.000 [4 per cell]
Mn2 0.000 0.194 0.556 [8 per cell]
Mn3 0.000 0.450 0.149 [8 per cell]
B1 0.000 0.139 0.750 [4 per cell]
B2 0.000 0.378 0.550 [8 per cell]

## Properties
The energy of formation is -0.239 eV per atom.